No. 1
! YBeOs2 PBE-GGA relaxed; values from VASP
! N(E_F)	1.188	states/eV/atom
! space group	I-4m2 (119)
! total magnetic moment	0.000	μB per atom
! electronic total energy	-31.1	eV per cell
&SYSTEM
  ibrav = 0, nat = 4, ntyp = 3
/
ATOMIC_SPECIES
Be 9.01 Be.upf
Y 88.91 Y.upf
Os 190.23 Os.upf
ATOMIC_POSITIONS crystal
Be 0.7500 0.2500 0.5000
Y 0.5000 0.5000 0.0000
Os 0.2500 0.7500 0.5000
Os 0.0000 0.0000 0.0000
CELL_PARAMETERS angstrom
4.5220 -0.0896 0.0000
0.2738 4.5146 0.0000
-2.3979 -2.2125 3.1323

***

No. 2
! MgReBr PBE-GGA relaxed; values from VASP
! N(E_F)	0.768	states/eV/atom
! E_form (uncorrected)	0.7310	eV/atom
! space group	Fmm2 (42)
! energy above the lowest structure with this stoichiometry	0.966	eV/atom
! total magnetic moment	0.001	μB per atom
&SYSTEM
  ibrav = 0, nat = 3, ntyp = 3
/
ATOMIC_SPECIES
Mg 24.30 Mg.upf
Br 79.90 Br.upf
Re 186.21 Re.upf
ATOMIC_POSITIONS crystal
Mg 0.3288 0.3288 0.6712
Br 0.0071 0.0071 0.9929
Re 0.6641 0.6641 0.3359
CELL_PARAMETERS angstrom
-2.7010 6.6084 1.4231
-4.4440 5.2396 -0.7925
-0.9278 0.1102 2.9914

***

No. 3
! KNa3Ag8 PBE-GGA relaxed; values from VASP
! N(E_F)	0.174	states/eV/atom
! space group	P3m1 (156)
! energy above the lowest structure with this stoichiometry	0.009	eV/atom
! total magnetic moment	0.000	μB per atom
&SYSTEM
  ibrav = 0, nat = 12, ntyp = 3
/
ATOMIC_SPECIES
Ag 107.87 Ag.upf
K 39.10 K.upf
Na 22.99 Na.upf
ATOMIC_POSITIONS crystal
Ag 0.1659 0.3317 0.2452
Ag 0.3333 0.6667 0.4990
Ag 0.3333 0.6667 0.9991
Ag 0.9968 0.4984 0.7557
Ag 0.6683 0.8341 0.2452
Ag 0.1659 0.8341 0.2452
Ag 0.5016 0.0032 0.7557
Ag 0.5016 0.4984 0.7557
K 0.0000 0.0000 0.5639
Na 0.6667 0.3333 0.0605
Na 0.0000 0.0000 0.9460
Na 0.6667 0.3333 0.4288
CELL_PARAMETERS angstrom
-1.7499 -5.2527 1.3903
4.5743 2.2564 2.5633
-5.6040 3.6609 6.7781

***

> Which formula does entry 2 have?

MgReBr

***

> What is the N(E_F) in the second record?

0.768 states/eV/atom

***

What did the second record say?
! MgReBr PBE-GGA relaxed; values from VASP
! N(E_F)	0.768	states/eV/atom
! E_form (uncorrected)	0.7310	eV/atom
! space group	Fmm2 (42)
! energy above the lowest structure with this stoichiometry	0.966	eV/atom
! total magnetic moment	0.001	μB per atom
&SYSTEM
  ibrav = 0, nat = 3, ntyp = 3
/
ATOMIC_SPECIES
Mg 24.30 Mg.upf
Br 79.90 Br.upf
Re 186.21 Re.upf
ATOMIC_POSITIONS crystal
Mg 0.3288 0.3288 0.6712
Br 0.0071 0.0071 0.9929
Re 0.6641 0.6641 0.3359
CELL_PARAMETERS angstrom
-2.7010 6.6084 1.4231
-4.4440 5.2396 -0.7925
-0.9278 0.1102 2.9914